Density functional theory data (PBE) for crystalline TbAl4Pb at its relaxed geometry.

Calculated formation energy (eV/atom): -0.167
Electronic total energy (eV/atom): -4.0522
Fermi-level density of states (states/eV/cell): 3.16

Lattice parameters (Å, degrees): 5.628 5.628 5.628 60.00 60.00 60.00
Atoms (fractional coordinates):
Al  0.625  0.625  0.625
Tb  0.000  0.000  0.000
Al  0.625  0.625  0.124
Pb  0.250  0.250  0.250
Al  0.625  0.124  0.625
Al  0.124  0.625  0.625